# 1
Computed, not measured: YTmSn after structural relaxation at the PBE level of DFT.

Crystal system   cubic
Final energy   -4.8036 eV/atom

```
data_YTmSn
_cell_length_a 5.1963
_cell_length_b 5.1963
_cell_length_c 5.1963
_cell_angle_alpha 60.00
_cell_angle_beta 60.00
_cell_angle_gamma 60.00
_space_group_name_H-M_alt 'P 1'
_space_group_IT_number 1
_space_group_name_Hall 'P 1'
loop_
_atom_site_label
_atom_site_type_symbol
_atom_site_fract_x
_atom_site_fract_y
_atom_site_fract_z
Sn1 Sn 0.7500 0.7500 0.7500
Tm1 Tm 0.2500 0.2500 0.2500
Y1 Y 0.0000 0.0000 0.0000
```


# 2
Computed, not measured: PrPaBi after structural relaxation at the PBE level of DFT.

Crystal system   cubic
Final energy   -5.4927 eV/atom

```
data_PrPaBi
_cell_length_a 5.3818
_cell_length_b 5.3818
_cell_length_c 5.3818
_cell_angle_alpha 60.00
_cell_angle_beta 60.00
_cell_angle_gamma 60.00
_space_group_name_H-M_alt 'P 1'
_space_group_IT_number 1
_space_group_name_Hall 'P 1'
loop_
_atom_site_label
_atom_site_type_symbol
_atom_site_fract_x
_atom_site_fract_y
_atom_site_fract_z
Bi1 Bi 0.5000 0.5000 0.5000
Pa1 Pa 0.2500 0.2500 0.2500
Pr1 Pr 0.0000 0.0000 0.0000
```


# 3
Computed, not measured: Mo after structural relaxation at the PBE level of DFT.

Crystal system   cubic
ΔE_f   0.27 eV per atom

```
data_Mo
_cell_length_a 8.4743
_cell_length_b 8.4743
_cell_length_c 8.4743
_cell_angle_alpha 109.47
_cell_angle_beta 109.47
_cell_angle_gamma 109.47
_space_group_name_H-M_alt 'P 1'
_space_group_IT_number 1
_space_group_name_Hall 'P 1'
loop_
_atom_site_label
_atom_site_type_symbol
_atom_site_fract_x
_atom_site_fract_y
_atom_site_fract_z
Mo1 Mo 0.0000 0.0000 0.0000
Mo2 Mo 0.6343 0.0000 0.0000
Mo3 Mo 0.3780 0.1901 0.0000
Mo4 Mo 0.1901 0.3780 0.0000
Mo5 Mo 0.6855 0.4104 0.0000
Mo6 Mo 0.0000 0.6343 0.0000
Mo7 Mo 0.4104 0.6855 0.0000
Mo8 Mo 0.8099 0.8099 0.1879
Mo9 Mo 0.3780 0.0000 0.1901
Mo10 Mo 0.0000 0.3780 0.1901
Mo11 Mo 0.5896 0.5896 0.2751
Mo12 Mo 0.7249 0.3145 0.3145
Mo13 Mo 0.3145 0.7249 0.3145
Mo14 Mo 0.3657 0.3657 0.3657
Mo15 Mo 0.1901 0.0000 0.3780
Mo16 Mo 0.0000 0.1901 0.3780
Mo17 Mo 0.6855 0.0000 0.4104
Mo18 Mo 0.0000 0.6855 0.4104
Mo19 Mo 0.5896 0.2751 0.5896
Mo20 Mo 0.2751 0.5896 0.5896
Mo21 Mo 0.8121 0.6220 0.6220
Mo22 Mo 0.6220 0.8121 0.6220
Mo23 Mo 0.0000 0.0000 0.6343
Mo24 Mo 0.4104 0.0000 0.6855
Mo25 Mo 0.0000 0.4104 0.6855
Mo26 Mo 0.3145 0.3145 0.7249
Mo27 Mo 0.8099 0.1879 0.8099
Mo28 Mo 0.1879 0.8099 0.8099
Mo29 Mo 0.6220 0.6220 0.8121
```


# 4
Computed, not measured: Na4Si2IrPd after structural relaxation at the PBE level of DFT.

Crystal system   tetragonal
Final energy   -3.6997 eV/atom

```
data_Na4Si2IrPd
_cell_length_a 4.5447
_cell_length_b 4.5447
_cell_length_c 6.4022
_cell_angle_alpha 90.00
_cell_angle_beta 90.00
_cell_angle_gamma 90.00
_space_group_name_H-M_alt 'P 1'
_space_group_IT_number 1
_space_group_name_Hall 'P 1'
loop_
_atom_site_label
_atom_site_type_symbol
_atom_site_fract_x
_atom_site_fract_y
_atom_site_fract_z
Ir1 Ir 0.0000 0.0000 0.5000
Na1 Na 0.0000 0.0000 0.0000
Na2 Na 0.5000 0.0000 0.2385
Na3 Na 0.5000 0.5000 0.5000
Na4 Na 0.0000 0.5000 0.7615
Pd1 Pd 0.5000 0.5000 0.0000
Si1 Si 0.0000 0.5000 0.2790
Si2 Si 0.5000 0.0000 0.7210
```